i | Hf2TiNiTe PBE optimized geometry; V = 108 Å³/cell; magnetic moment = 0.878 μB/f.u.; D(E_F) = 5.031 states/eV per cell
1.0
-0.2037 -2.2260 -4.2933
0.6501 -4.0637 2.0760
-4.7876 -0.5138 0.4936
Ni Te Ti Hf
1 1 1 2
direct
0.0000 0.0000 0.0000
0.5000 0.5000 0.5000
0.0000 0.5000 0.0000
0.0000 0.0000 0.5000
0.5000 0.0000 0.0000

---

ii | Hf2TiNiTe PBE optimized geometry; V = 111 Å³/cell; magnetic moment = 0.000 μB/f.u.; D(E_F) = 4.726 states/eV per cell
1.0
5.1525 0.0000 0.0000
0.0000 4.1786 0.0000
0.0000 0.0000 5.1525
Te Hf Ti Ni
1 2 1 1
direct
0.5000 0.5000 0.5000
0.5000 0.0000 0.0000
0.0000 0.0000 0.5000
0.0000 0.0000 0.0000
0.0000 0.5000 0.0000

---

Most stable structure, least stable structure: i, ii.

---

i | HfThNi2 PBE optimized geometry; V = 74 Å³/cell; magnetic moment = 0.000 μB/f.u.; D(E_F) = 3.460 states/eV per cell
1.0
-3.0633 -1.1501 -0.0256
0.8194 -2.1302 -2.3448
1.7090 -4.6591 4.8298
Ni Th Hf
2 1 1
direct
0.0000 0.0000 0.8008
0.0000 0.0000 0.1992
0.5000 0.5000 0.5000
0.5000 0.5000 0.0000

---

ii | HfThNi2 PBE optimized geometry; V = 79 Å³/cell; magnetic moment = 0.000 μB/f.u.; D(E_F) = 2.159 states/eV per cell
1.0
4.4274 0.0000 0.0000
2.2137 3.8356 0.0053
2.2137 1.2698 4.6411
Ni Hf Th
2 1 1
direct
0.7075 0.2073 0.3777
0.2925 0.7927 0.6223
0.0000 0.5000 0.5000
0.5000 0.0000 0.0000

---

Most stable structure, least stable structure: ii, i.

---

i | HfTi2Ni2 PBE optimized geometry; V = 151 Å³/cell; magnetic moment = 0.000 μB/f.u.; D(E_F) = 8.992 states/eV per cell
1.0
7.3111 0.0000 0.0000
0.0000 7.3111 0.0000
0.0000 0.0000 2.8342
Hf Ni Ti
2 4 4
direct
0.5000 0.5000 0.0000
0.0000 0.0000 0.0000
0.6423 0.8577 0.5000
0.1423 0.6423 0.5000
0.8577 0.3577 0.5000
0.3577 0.1423 0.5000
0.3487 0.8487 0.0000
0.1513 0.3487 0.0000
0.8487 0.6513 0.0000
0.6513 0.1513 0.0000

---

ii | HfTi2Ni2 PBE optimized geometry; V = 161 Å³/cell; magnetic moment = 0.000 μB/f.u.; D(E_F) = 9.152 states/eV per cell
1.0
-1.7001 3.7452 0.2234
-1.0477 -0.2277 -4.1560
-7.7928 -3.7227 3.1036
Ti Ni Hf
4 4 2
direct
0.7500 0.1635 0.1150
0.2500 0.8365 0.8850
0.2500 0.2505 0.5021
0.7500 0.7495 0.4979
0.7500 0.6517 0.0095
0.2500 0.3483 0.9905
0.2500 0.7793 0.6318
0.7500 0.2207 0.3682
0.2500 0.6993 0.2468
0.7500 0.3007 0.7532

---

iii | HfTi2Ni2 PBE optimized geometry; V = 81 Å³/cell; magnetic moment = 0.000 μB/f.u.; D(E_F) = 6.584 states/eV per cell
1.0
-3.0838 -0.7298 1.9268
-0.9682 -2.5482 -2.5148
0.8541 -5.7468 2.7596
Ni Ti Hf
2 2 1
direct
0.7500 0.2500 0.5000
0.2500 0.7500 0.5000
0.6153 0.6153 0.7694
0.3847 0.3847 0.2306
0.0000 0.0000 0.0000

---

iv | HfTi2Ni2 PBE optimized geometry; V = 81 Å³/cell; magnetic moment = 0.000 μB/f.u.; D(E_F) = 4.435 states/eV per cell
1.0
-2.1812 3.1560 -1.3260
-2.0024 -2.4515 -2.5410
-5.4468 -0.5073 1.5396
Ni Hf Ti
2 1 2
direct
0.3857 0.3857 0.2285
0.6143 0.6143 0.7715
0.0000 0.0000 0.0000
0.2500 0.7500 0.5000
0.7500 0.2500 0.5000

---

Most stable structure, least stable structure: ii, iii.

---

i | Hf2TiNi PBE optimized geometry; V = 74 Å³/cell; magnetic moment = 0.000 μB/f.u.; D(E_F) = 4.035 states/eV per cell
1.0
3.1070 0.0000 0.0000
1.5535 2.6907 0.0000
1.5535 0.8969 8.8085
Hf Ni Ti
2 1 1
direct
0.0765 0.0765 0.7705
0.2566 0.2566 0.2302
0.6675 0.6675 0.9976
0.4994 0.4994 0.5017

---

ii | Hf2TiNi PBE optimized geometry; V = 153 Å³/cell; magnetic moment = 0.000 μB/f.u.; D(E_F) = 9.447 states/eV per cell
1.0
7.3490 0.0000 0.0000
0.0000 7.3490 0.0000
3.6745 3.6745 2.8343
Hf Ni Ti
4 2 2
direct
0.3750 0.3256 0.7500
0.0756 0.6250 0.2500
0.6744 0.1250 0.2500
0.8750 0.9244 0.7500
0.7500 0.2500 0.5000
0.0000 0.0000 0.0000
0.5000 0.5000 0.0000
0.2500 0.7500 0.5000

---

Most stable structure, least stable structure: i, ii.

---

i | Hf2TiNi6 PBE optimized geometry; V = 128 Å³/cell; magnetic moment = 0.008 μB/f.u.; D(E_F) = 10.022 states/eV per cell
1.0
3.0004 0.0000 -0.4507
0.0000 7.6057 0.0000
-2.1816 -3.8029 5.9171
Ni Hf Ti
6 2 1
direct
0.8258 0.0069 0.3258
0.1742 0.6811 0.6742
0.8258 0.3189 0.3258
0.5000 0.3445 0.0000
0.1742 0.9931 0.6742
0.5000 0.6555 0.0000
0.3395 0.6697 0.3395
0.6605 0.3303 0.6605
0.0000 0.0000 0.0000

---

ii | Hf2TiNi6 PBE optimized geometry; V = 124 Å³/cell; magnetic moment = 0.000 μB/f.u.; D(E_F) = 5.368 states/eV per cell
1.0
5.4339 0.0000 0.0000
0.0000 4.4425 -2.5649
0.0000 0.0000 5.1298
Ti Hf Ni
1 2 6
direct
0.5000 0.0000 0.0000
0.6554 0.3333 0.6667
0.3446 0.6667 0.3333
0.1732 0.1758 0.8242
0.8268 0.8242 0.6485
0.8268 0.8242 0.1758
0.1732 0.6485 0.8242
0.1732 0.1758 0.3515
0.8268 0.3515 0.1758

---

Most stable structure, least stable structure: ii, i.

---

i | HfTiNi4 PBE optimized geometry; V = 160 Å³/cell; magnetic moment = 0.000 μB/f.u.; D(E_F) = 10.454 states/eV per cell
1.0
4.4794 -1.0503 -0.0784
-3.3390 5.3194 0.6940
-0.2792 -0.6352 7.8028
Hf Ni Ti
2 8 2
direct
0.7500 0.0000 0.7500
0.2500 0.0000 0.2500
0.5047 0.4999 0.6650
0.2447 0.9997 0.9184
0.4953 0.5001 0.3350
0.7553 0.0003 0.0816
0.0047 0.4999 0.1650
0.2553 0.0003 0.5816
0.9953 0.5001 0.8350
0.7447 0.9997 0.4184
0.5000 0.5000 0.0000
0.0000 0.5000 0.5000

---

ii | HfTiNi4 PBE optimized geometry; V = 79 Å³/cell; magnetic moment = 0.000 μB/f.u.; D(E_F) = 5.528 states/eV per cell
1.0
-3.3533 -3.3549 0.8571
1.3090 -4.5753 0.7665
-0.4174 -1.9212 4.4010
Ni Hf Ti
4 1 1
direct
0.1262 0.6246 0.6246
0.6246 0.6246 0.6246
0.6246 0.6246 0.1262
0.6246 0.1262 0.6246
0.0000 0.0000 0.0000
0.2500 0.2500 0.2500

---

Most stable structure, least stable structure: ii, i.

---

i | HfTiNi3 PBE optimized geometry; V = 149 Å³/cell; magnetic moment = 0.000 μB/f.u.; D(E_F) = 5.360 states/eV per cell
1.0
-2.0067 -3.6458 3.2337
-0.9360 -3.4451 -4.4651
4.9740 -0.2480 2.8071
Ti Ni Hf
2 6 2
direct
0.5000 0.0000 0.0000
0.0000 0.0000 0.0000
0.2500 0.8008 0.1992
0.7500 0.6018 0.8008
0.2500 0.3982 0.1992
0.7500 0.1992 0.3982
0.7500 0.1992 0.8008
0.2500 0.8008 0.6018
0.7500 0.6667 0.3333
0.2500 0.3333 0.6667

---

ii | HfTiNi3 PBE optimized geometry; V = 80 Å³/cell; magnetic moment = 0.000 μB/f.u.; D(E_F) = 4.560 states/eV per cell
1.0
4.3129 0.0000 0.0000
0.0000 4.3129 0.0000
0.0000 0.0000 4.3129
Hf Ni Ti
1 3 1
direct
0.5000 0.5000 0.5000
0.5000 0.0000 0.0000
0.0000 0.5000 0.0000
0.0000 0.0000 0.5000
0.0000 0.0000 0.0000

---

iii | HfTiNi3 PBE optimized geometry; V = 142 Å³/cell; magnetic moment = 0.000 μB/f.u.; D(E_F) = 9.527 states/eV per cell
1.0
-1.4758 2.2854 3.8087
-1.2881 -4.4078 2.1458
5.4838 -0.4674 2.3318
Hf Ti Ni
2 2 6
direct
0.6570 0.7500 0.3755
0.3430 0.2500 0.6245
0.4007 0.7500 0.8942
0.5993 0.2500 0.1058
0.8383 0.2500 0.4633
0.8564 0.5055 0.8174
0.8564 0.9945 0.8174
0.1436 0.0055 0.1826
0.1436 0.4945 0.1826
0.1617 0.7500 0.5367

---

iv | HfTiNi3 PBE optimized geometry; V = 91 Å³/cell; magnetic moment = 0.000 μB/f.u.; D(E_F) = 8.181 states/eV per cell
1.0
4.4986 0.0000 0.0000
0.0000 4.4986 0.0000
0.0000 0.0000 4.4986
Ni Hf Ti
3 1 1
direct
0.5000 0.0000 0.0000
0.0000 0.5000 0.0000
0.0000 0.0000 0.5000
0.0000 0.0000 0.0000
0.5000 0.5000 0.5000

---

Most stable structure, least stable structure: iii, iv.

---

i | Hf2TlNi PBE optimized geometry; V = 171 Å³/cell; magnetic moment = 0.000 μB/f.u.; D(E_F) = 7.406 states/eV per cell
1.0
-2.1346 -3.5104 0.4596
2.3830 -1.8216 -2.8450
6.4600 -5.5795 5.9796
Tl Hf Ni
2 4 2
direct
0.7500 0.2500 0.5000
0.0000 0.0000 0.0000
0.8750 0.8708 0.7500
0.3750 0.3792 0.7500
0.1292 0.6250 0.2500
0.6208 0.1250 0.2500
0.2500 0.7500 0.5000
0.5000 0.5000 0.0000

---

ii | Hf2TlNi PBE optimized geometry; V = 77 Å³/cell; magnetic moment = 0.002 μB/f.u.; D(E_F) = 4.734 states/eV per cell
1.0
3.0706 0.0000 0.0000
0.0000 3.0706 0.0000
0.0000 0.0000 8.1834
Hf Tl Ni
2 1 1
direct
0.0000 0.0000 0.7932
0.0000 0.0000 0.2068
0.5000 0.5000 0.5000
0.5000 0.5000 0.0000

---

Most stable structure, least stable structure: ii, i.

---

i | Hf2TlNi PBE optimized geometry; V = 78 Å³/cell; magnetic moment = 1.000 μB/f.u.; D(E_F) = 2.796 states/eV per cell
1.0
0.0000 3.3879 3.3879
3.3879 0.0000 3.3879
3.3879 3.3879 0.0000
Hf Tl Ni
2 1 1
direct
0.7500 0.7500 0.7500
0.2500 0.2500 0.2500
0.5000 0.5000 0.5000
0.0000 0.0000 0.0000

---

ii | Hf2TlNi PBE optimized geometry; V = 84 Å³/cell; magnetic moment = 0.000 μB/f.u.; D(E_F) = 2.210 states/eV per cell
1.0
3.4520 0.0000 0.0000
1.7260 2.9895 0.0000
1.7260 0.9965 8.1723
Hf Ni Tl
2 1 1
direct
0.7312 0.7312 0.8065
0.2688 0.2688 0.1935
0.0000 0.0000 0.0000
0.5000 0.5000 0.5000

---

Most stable structure, least stable structure: ii, i.

---

i | HfTl3Ni PBE optimized geometry; V = 175 Å³/cell; magnetic moment = 0.000 μB/f.u.; D(E_F) = 7.397 states/eV per cell
1.0
5.5949 0.0000 0.0000
0.0000 5.5949 0.0000
0.0000 0.0000 5.5949
Hf Tl Ni
1 3 1
direct
0.0000 0.0000 0.0000
0.0000 0.5000 0.0000
0.0000 0.0000 0.5000
0.5000 0.0000 0.0000
0.5000 0.5000 0.5000

---

ii | HfTl3Ni PBE optimized geometry; V = 124 Å³/cell; magnetic moment = 0.000 μB/f.u.; D(E_F) = 3.416 states/eV per cell
1.0
4.9846 0.0000 0.0000
0.0000 4.9846 0.0000
0.0000 0.0000 4.9846
Tl Hf Ni
3 1 1
direct
0.0000 0.0000 0.5000
0.5000 0.0000 0.0000
0.0000 0.5000 0.0000
0.5000 0.5000 0.5000
0.0000 0.0000 0.0000

---

Most stable structure, least stable structure: ii, i.

---

i | Hf3TlNi PBE optimized geometry; V = 112 Å³/cell; magnetic moment = 0.000 μB/f.u.; D(E_F) = 3.458 states/eV per cell
1.0
4.8273 0.0000 0.0000
0.0000 4.8273 0.0000
0.0000 0.0000 4.8273
Hf Tl Ni
3 1 1
direct
0.0000 0.0000 0.5000
0.0000 0.5000 0.0000
0.5000 0.0000 0.0000
0.5000 0.5000 0.5000
0.0000 0.0000 0.0000

---

ii | Hf3TlNi PBE optimized geometry; V = 143 Å³/cell; magnetic moment = 0.000 μB/f.u.; D(E_F) = 13.784 states/eV per cell
1.0
5.2247 0.0000 0.0000
0.0000 5.2247 0.0000
0.0000 0.0000 5.2247
Hf Tl Ni
3 1 1
direct
0.0000 0.0000 0.5000
0.5000 0.0000 0.0000
0.0000 0.5000 0.0000
0.0000 0.0000 0.0000
0.5000 0.5000 0.5000

---

Most stable structure, least stable structure: i, ii.